1.
! PBE Nd3Si2Pd2, relaxed; values from VASP
&SYSTEM
  ibrav = 0, nat = 28, ntyp = 3
/
ATOMIC_SPECIES
Nd 144.24 Nd.upf
Si 28.09 Si.upf
Pd 106.42 Pd.upf
ATOMIC_POSITIONS angstrom
Nd -3.107 -3.867 1.510
Nd -9.843 0.655 1.739
Nd -7.150 1.589 -0.495
Nd -11.128 -1.510 8.356
Nd -12.507 2.300 4.045
Nd -5.771 -2.221 3.816
Nd -8.464 -3.155 6.050
Nd -4.486 -0.057 -2.801
Nd -4.295 -0.355 0.911
Nd -11.319 -1.211 4.645
Nd -6.740 -3.994 0.682
Nd -8.874 2.427 4.873
Si -1.936 -1.787 -0.961
Si -9.113 -2.599 2.564
Si -4.549 -5.418 -1.388
Si -6.501 1.032 2.991
Si -6.520 -1.375 -0.932
Si -9.094 -0.192 6.487
Si -5.343 -5.176 3.139
Si -10.270 3.609 2.416
Pd -4.384 -2.752 -1.055
Pd -8.327 -0.607 4.097
Pd -7.812 -4.684 3.509
Pd -10.705 4.910 4.559
Pd -11.230 1.185 6.610
Pd -7.287 -0.959 1.458
Pd -7.802 3.117 2.046
Pd -4.909 -6.477 0.996
CELL_PARAMETERS angstrom
-3.712 0.166 -4.406
-2.772 -7.372 2.057
-9.130 5.639 7.904
! space-group type	No. 57
! electronic total energy	-5.89	eV/atom

2.
! PBE Nd2SiSnPd6, relaxed; values from VASP
&SYSTEM
  ibrav = 0, nat = 10, ntyp = 4
/
ATOMIC_SPECIES
Nd 144.24 Nd.upf
Si 28.09 Si.upf
Sn 118.71 Sn.upf
Pd 106.42 Pd.upf
ATOMIC_POSITIONS angstrom
Nd 5.552 4.571 2.334
Nd 2.763 8.525 2.369
Si 2.774 4.269 0.122
Sn 0.000 0.000 0.000
Pd 2.766 3.088 2.220
Pd 4.137 6.267 0.336
Pd 1.389 6.252 0.322
Pd 6.925 6.844 4.381
Pd 4.178 6.829 4.367
Pd 5.549 10.008 2.483
CELL_PARAMETERS angstrom
5.573 0.014 0.007
-0.025 8.524 0.238
2.767 4.558 4.458
! space-group type	No. 2
! electronic total energy	-5.70	eV/atom

3.
! PBE Nd3Si2SnPd9, relaxed; values from VASP
&SYSTEM
  ibrav = 0, nat = 15, ntyp = 4
/
ATOMIC_SPECIES
Nd 144.24 Nd.upf
Si 28.09 Si.upf
Sn 118.71 Sn.upf
Pd 106.42 Pd.upf
ATOMIC_POSITIONS angstrom
Nd 0.000 3.695 6.506
Nd 0.000 0.000 0.000
Nd 3.200 1.847 2.685
Si 0.000 3.695 1.541
Si 3.200 1.847 7.650
Sn 0.000 0.000 4.595
Pd 4.989 0.815 6.690
Pd 3.200 3.913 6.690
Pd 1.411 0.815 6.690
Pd 1.789 4.728 2.501
Pd 0.000 1.629 2.501
Pd -1.789 4.728 2.501
Pd 3.200 0.000 0.000
Pd -1.600 2.771 0.000
Pd 1.600 2.771 0.000
CELL_PARAMETERS angstrom
6.399 0.000 0.000
-3.200 5.542 0.000
0.000 0.000 9.191
! space-group type	No. 164
! electronic total energy	-5.68	eV/atom

4.
! PBE Nd2TmSi3Pd4, relaxed; values from VASP
&SYSTEM
  ibrav = 0, nat = 10, ntyp = 4
/
ATOMIC_SPECIES
Nd 144.24 Nd.upf
Tm 168.93 Tm.upf
Si 28.09 Si.upf
Pd 106.42 Pd.upf
ATOMIC_POSITIONS angstrom
Nd 2.126 0.000 2.461
Nd 0.000 2.126 8.428
Tm 2.126 2.126 5.444
Si 0.000 0.000 5.444
Si 2.126 0.000 9.590
Si 0.000 2.126 1.299
Pd 2.126 2.126 0.000
Pd 0.000 0.000 0.000
Pd 2.126 0.000 7.162
Pd 0.000 2.126 3.727
CELL_PARAMETERS angstrom
4.253 0.000 0.000
0.000 4.253 0.000
0.000 0.000 10.889
! space-group type	No. 115
! electronic total energy	-5.99	eV/atom

5.
! PBE NdTmSiPd, relaxed; values from VASP
&SYSTEM
  ibrav = 0, nat = 4, ntyp = 4
/
ATOMIC_SPECIES
Si 28.09 Si.upf
Tm 168.93 Tm.upf
Nd 144.24 Nd.upf
Pd 106.42 Pd.upf
ATOMIC_POSITIONS angstrom
Si 7.557 4.363 3.085
Tm 5.038 2.909 2.057
Nd 0.000 0.000 0.000
Pd 2.519 1.454 1.028
CELL_PARAMETERS angstrom
5.038 0.000 0.000
2.519 4.363 0.000
2.519 1.454 4.114
! space-group type	No. 216
! electronic total energy	-5.63	eV/atom

6.
! PBE NdYSi2Pd2, relaxed; values from VASP
&SYSTEM
  ibrav = 0, nat = 6, ntyp = 4
/
ATOMIC_SPECIES
Nd 144.24 Nd.upf
Y 88.91 Y.upf
Si 28.09 Si.upf
Pd 106.42 Pd.upf
ATOMIC_POSITIONS angstrom
Nd 0.000 0.000 0.000
Y 0.000 0.000 4.066
Si 0.000 2.432 2.064
Si 2.106 1.216 6.068
Pd 0.000 2.432 5.974
Pd 2.106 1.216 2.158
CELL_PARAMETERS angstrom
4.212 0.000 0.000
-2.106 3.648 0.000
0.000 0.000 8.131
! space-group type	No. 164
! electronic total energy	-6.33	eV/atom

7.
! PBE Nd2ZnSi4Pd3, relaxed; values from VASP
&SYSTEM
  ibrav = 0, nat = 10, ntyp = 4
/
ATOMIC_SPECIES
Nd 144.24 Nd.upf
Zn 65.41 Zn.upf
Si 28.09 Si.upf
Pd 106.42 Pd.upf
ATOMIC_POSITIONS angstrom
Nd 2.115 0.000 2.490
Nd 0.000 2.115 7.595
Zn 2.115 2.115 5.043
Si 2.115 2.115 0.000
Si 0.000 0.000 0.000
Si 2.115 0.000 6.429
Si 0.000 2.115 3.656
Pd 0.000 0.000 5.043
Pd 2.115 0.000 8.873
Pd 0.000 2.115 1.212
CELL_PARAMETERS angstrom
4.231 0.000 0.000
0.000 4.231 0.000
0.000 0.000 10.085
! space-group type	No. 115
! electronic total energy	-5.61	eV/atom

8.
! PBE NdZn2SiPd4, relaxed; values from VASP
&SYSTEM
  ibrav = 0, nat = 8, ntyp = 4
/
ATOMIC_SPECIES
Nd 144.24 Nd.upf
Zn 65.41 Zn.upf
Si 28.09 Si.upf
Pd 106.42 Pd.upf
ATOMIC_POSITIONS angstrom
Nd 0.000 0.000 0.000
Zn -2.160 7.687 5.659
Zn -0.646 2.617 2.024
Si -1.403 5.152 3.841
Pd -0.326 5.955 5.843
Pd -3.401 6.762 3.353
Pd 0.595 3.542 4.330
Pd -2.480 4.350 1.840
CELL_PARAMETERS angstrom
-1.187 4.044 -0.982
-3.785 1.548 1.416
2.166 4.712 7.249
! space-group type	No. 166
! electronic total energy	-4.79	eV/atom

The formation energy (no corrections) results, record by record, are as follows: -0.81 -0.69 -0.63 -0.88 -0.67 -0.92 -0.81 -0.60 eV per atom.